DFT (PBE) results for TbTmPd after structural relaxation.

Summary:
Electronic total energy: -15.53 eV per formula unit
DFT formation energy: -0.412 eV/atom
Total magnetic moment: 0.0 μB per cell
V: 74.1 Å³/f.u.
DOS(E_F): 2.6 states/eV/f.u.

Cell lengths 3.7592, 4.7704, 4.7704 Å; angles 120.00, 90.00, 90.00 degrees
Last column: nearest neighbours and their distance in Å.
Fractional coordinates of all 3 atoms:
Tm1 0.0789 0.0000 0.0000  3 Pd 2.89
Tb1 0.6117 0.6667 0.3333  3 Pd 2.98, 3 Tm 3.27
Pd1 0.3094 0.3333 0.6667  3 Tm 2.89, 3 Tb 2.98

***

DFT (PBE) results for NbSO2 after structural relaxation.

Summary:
Electronic total energy: -29.14 eV per formula unit
Total magnetic moment: 2.2 μB per cell
Formation energy (no corrections): -1.256 eV per atom
V: 82.0 Å³/f.u.
DOS(E_F): 2.6 states/eV/f.u.

Cell lengths 6.1440, 6.1440, 6.1450 Å; angles 60.01, 60.01, 90.00 degrees
Last column: nearest neighbours and their distance in Å.
Fractional coordinates of all 8 atoms:
Nb1 0.0000 0.0000 0.0000  4 O 1.88
Nb2 0.7500 0.2500 0.5000  4 O 1.88
S1 0.5000 0.5000 0.0000  12 O 3.60, 4 Nb 3.76, 4 S 3.76
S2 0.2500 0.7500 0.5000  12 O 3.60, 4 S 3.76, 4 Nb 3.76
O1 0.8753 0.1250 0.2500  2 Nb 1.88
O2 0.8747 0.6250 0.2500  2 Nb 1.88
O3 0.3750 0.1247 0.7500  2 Nb 1.88
O4 0.8750 0.1253 0.7500  2 Nb 1.88

***

DFT (PBE) results for Sc5Cr3H12 after structural relaxation.

Summary:
Electronic total energy: -103.16 eV per formula unit
Total magnetic moment: 5.4 μB per cell
V: 177.4 Å³/f.u.
DOS(E_F): 11.0 states/eV/f.u.

Cell lengths 9.7323, 9.7323, 9.7323 Å; angles 109.47, 109.47, 109.47 degrees
Last column: nearest neighbours and their distance in Å.
Fractional coordinates of all 80 atoms:
Cr1 0.7500 0.3750 0.1250  4 H 1.81
Cr2 0.8750 0.7500 0.1250  4 H 1.81
Cr3 0.3750 0.7500 0.6250  4 H 1.81
Cr4 0.2500 0.1250 0.3750  4 H 1.81
Cr5 0.8750 0.1250 0.2500  4 H 1.81
Cr6 0.3750 0.6250 0.2500  4 H 1.81
Cr7 0.6250 0.3750 0.7500  4 H 1.81
Cr8 0.1250 0.8750 0.7500  4 H 1.81
Cr9 0.7500 0.8750 0.6250  4 H 1.81
Cr10 0.6250 0.2500 0.3750  4 H 1.81
Cr11 0.1250 0.2500 0.8750  4 H 1.81
Cr12 0.2500 0.6250 0.8750  4 H 1.81
Sc1 0.1250 0.3750 0.2500  4 H 1.98
Sc2 0.0000 0.5000 0.0000  6 H 1.99
Sc3 0.0000 0.0000 0.0000  6 H 1.99
Sc4 0.3750 0.2500 0.1250  4 H 1.98
Sc5 0.5000 0.0000 0.5000  6 H 1.99
Sc6 0.5000 0.5000 0.0000  6 H 1.99
Sc7 0.1250 0.7500 0.3750  4 H 1.98
Sc8 0.7500 0.1250 0.8750  4 H 1.98
Sc9 0.7500 0.6250 0.3750  4 H 1.98
Sc10 0.3750 0.1250 0.7500  4 H 1.98
Sc11 0.6250 0.8750 0.2500  4 H 1.98
Sc12 0.5000 0.5000 0.5000  6 H 1.99
Sc13 0.5000 0.0000 0.0000  6 H 1.99
Sc14 0.0000 0.0000 0.5000  6 H 1.99
Sc15 0.2500 0.3750 0.6250  4 H 1.98
Sc16 0.2500 0.8750 0.1250  4 H 1.98
Sc17 0.0000 0.5000 0.5000  6 H 1.99
Sc18 0.8750 0.2500 0.6250  4 H 1.98
Sc19 0.6250 0.7500 0.8750  4 H 1.98
Sc20 0.8750 0.6250 0.7500  4 H 1.98
H1 0.7333 0.1719 0.0815  1 H 1.73, 1 Cr 1.81
H2 0.3482 0.5815 0.4095  1 H 1.73, 1 Cr 1.81
H3 0.9185 0.3281 0.2667  1 H 1.73, 1 Cr 1.81
H4 0.5815 0.2333 0.1719  1 H 1.73, 1 Cr 1.81
H5 0.5613 0.7333 0.6518  1 H 1.73, 1 Cr 1.81
H6 0.9185 0.5905 0.1518  1 H 1.73, 1 Cr 1.81
H7 0.3482 0.7667 0.4387  1 H 1.73, 1 Cr 1.81
H8 0.0905 0.9387 0.1719  1 H 1.73, 1 Cr 1.81
H9 0.5905 0.9185 0.6518  1 H 1.73, 1 Cr 1.81
H10 0.7333 0.5613 0.1518  1 H 1.73, 1 Cr 1.81
H11 0.7667 0.4185 0.3281  1 H 1.73, 1 Cr 1.81
H12 0.8482 0.9095 0.0815  1 H 1.73, 1 Cr 1.81
H13 0.1719 0.7333 0.5815  1 H 1.73, 1 Cr 1.81
H14 0.3281 0.4095 0.0613  1 H 1.73, 1 Cr 1.81
H15 0.0613 0.9095 0.3281  1 H 1.73, 1 Cr 1.81
H16 0.4387 0.1719 0.5905  1 H 1.73, 1 Cr 1.81
H17 0.0613 0.1518 0.2333  1 H 1.73, 1 Cr 1.81
H18 0.4185 0.6518 0.0905  1 H 1.73, 1 Cr 1.81
H19 0.8482 0.9387 0.2667  1 H 1.73, 1 Cr 1.81
H20 0.1719 0.4387 0.0905  1 H 1.73, 1 Cr 1.81
H21 0.3281 0.9185 0.7667  1 H 1.73, 1 Cr 1.81
H22 0.5905 0.6719 0.4387  1 H 1.73, 1 Cr 1.81
H23 0.9095 0.8482 0.5815  1 H 1.73, 1 Cr 1.81
H24 0.7667 0.3482 0.9387  1 H 1.73, 1 Cr 1.81
H25 0.4095 0.3281 0.5613  1 H 1.73, 1 Cr 1.81
H26 0.0905 0.1518 0.4185  1 H 1.73, 1 Cr 1.81
H27 0.2333 0.6518 0.0613  1 H 1.73, 1 Cr 1.81
H28 0.1518 0.0613 0.7333  1 H 1.73, 1 Cr 1.81
H29 0.6719 0.0815 0.2333  1 H 1.73, 1 Cr 1.81
H30 0.8281 0.5613 0.9095  1 H 1.73, 1 Cr 1.81
H31 0.5815 0.3482 0.9095  1 H 1.73, 1 Cr 1.81
H32 0.5613 0.8281 0.4095  1 H 1.73, 1 Cr 1.81
H33 0.9387 0.8482 0.7667  1 H 1.73, 1 Cr 1.81
H34 0.9387 0.0905 0.6719  1 H 1.73, 1 Cr 1.81
H35 0.8281 0.2667 0.4185  1 H 1.73, 1 Cr 1.81
H36 0.1518 0.0905 0.9185  1 H 1.73, 1 Cr 1.81
H37 0.6719 0.5905 0.9387  1 H 1.73, 1 Cr 1.81
H38 0.4095 0.0815 0.3482  1 H 1.73, 1 Cr 1.81
H39 0.2667 0.4387 0.8482  1 H 1.73, 1 Cr 1.81
H40 0.2333 0.5815 0.6719  1 H 1.73, 1 Cr 1.81
H41 0.9095 0.0613 0.8281  1 H 1.73, 1 Cr 1.81
H42 0.6518 0.2333 0.5613  1 H 1.73, 1 Cr 1.81
H43 0.4185 0.7667 0.8281  1 H 1.73, 1 Cr 1.81
H44 0.0815 0.4095 0.8482  1 H 1.73, 1 Cr 1.81
H45 0.4387 0.2667 0.3482  1 H 1.73, 1 Cr 1.81
H46 0.0815 0.6719 0.7333  1 H 1.73, 1 Cr 1.81
H47 0.6518 0.4185 0.5905  1 H 1.73, 1 Cr 1.81
H48 0.2667 0.8281 0.9185  1 H 1.73, 1 Cr 1.81

***

DFT (PBE) results for GaTeSeN2 after structural relaxation.

Summary:
Electronic total energy: -19.27 eV per formula unit
Total magnetic moment: 1.0 μB per cell
Formation energy (no corrections): 1.408 eV per atom
V: 116.4 Å³/f.u.
DOS(E_F): 1.9 states/eV/f.u.

Cell lengths 3.8502, 3.8502, 7.8489 Å; angles 90.00, 90.00, 90.00 degrees
Last column: nearest neighbours and their distance in Å.
Fractional coordinates of all 5 atoms:
Te1 0.0000 0.0000 0.5000  4 Ga 2.72
Ga1 0.5000 0.5000 0.5000  4 Te 2.72
Se1 0.0000 0.0000 0.0000  4 N 1.93
N1 0.0000 0.5000 0.0000  2 Se 1.93
N2 0.5000 0.0000 0.0000  2 Se 1.93

***

DFT (PBE) results for Na3Pu2HgSe6 after structural relaxation.

Summary:
Electronic total energy: -66.96 eV per formula unit
Total magnetic moment: 9.0 μB per cell
Formation energy (no corrections): -1.094 eV per atom
V: 314.2 Å³/f.u.
DOS(E_F): 19.6 states/eV/f.u.

Cell lengths 7.2053, 7.2053, 7.3821 Å; angles 99.42, 99.42, 119.83 degrees
Last column: nearest neighbours and their distance in Å.
Fractional coordinates of all 12 atoms:
Na1 0.1616 0.8384 0.5000  6 Se 3.03-3.08
Na2 0.8384 0.1616 0.5000  6 Se 3.03-3.08
Na3 0.5000 0.5000 0.5000  6 Se 2.99-3.07
Pu1 0.3329 0.6671 0.0000  6 Se 2.87
Pu2 0.6671 0.3329 0.0000  6 Se 2.87
Hg1 0.0000 0.0000 0.0000  6 Se 2.94-2.96
Se1 0.9225 0.5810 0.7689  2 Pu 2.87, 1 Hg 2.94, 3 Na 3.04-3.08
Se2 0.7338 0.7338 0.2319  2 Pu 2.87, 1 Hg 2.96, 3 Na 2.99-3.03
Se3 0.0775 0.4190 0.2311  2 Pu 2.87, 1 Hg 2.94, 3 Na 3.04-3.08
Se4 0.5810 0.9225 0.7689  2 Pu 2.87, 1 Hg 2.94, 3 Na 3.04-3.08
Se5 0.2662 0.2662 0.7681  2 Pu 2.87, 1 Hg 2.96, 3 Na 2.99-3.03
Se6 0.4190 0.0775 0.2311  2 Pu 2.87, 1 Hg 2.94, 3 Na 3.04-3.08

***

DFT (PBE) results for Tb5Pr3Pt12 after structural relaxation.

Summary:
Electronic total energy: -121.21 eV per formula unit
DFT formation energy: -0.562 eV/atom
Total magnetic moment: 0.0 μB per cell
V: 557.4 Å³/f.u.
DOS(E_F): 6.8 states/eV/f.u.

Cell lengths 14.2544, 14.2544, 14.2544 Å; angles 109.47, 109.47, 109.47 degrees
Last column: nearest neighbours and their distance in Å.
Fractional coordinates of all 80 atoms:
Pr1 0.7500 0.3750 0.1250  8 Pt 2.94-2.95
Pr2 0.8750 0.7500 0.1250  8 Pt 2.94-2.95
Pr3 0.3750 0.7500 0.6250  8 Pt 2.94-2.95
Pr4 0.2500 0.1250 0.3750  8 Pt 2.94-2.95
Pr5 0.8750 0.1250 0.2500  8 Pt 2.94-2.95
Pr6 0.3750 0.6250 0.2500  8 Pt 2.94-2.95
Pr7 0.6250 0.3750 0.7500  8 Pt 2.94-2.95
Pr8 0.1250 0.8750 0.7500  8 Pt 2.94-2.95
Pr9 0.7500 0.8750 0.6250  8 Pt 2.94-2.95
Pr10 0.6250 0.2500 0.3750  8 Pt 2.94-2.95
Pr11 0.1250 0.2500 0.8750  8 Pt 2.94-2.95
Pr12 0.2500 0.6250 0.8750  8 Pt 2.94-2.95
Tb1 0.1250 0.3750 0.2500  4 Pt 2.79
Tb2 0.0000 0.5000 0.0000  6 Pt 2.82
Tb3 0.0000 0.0000 0.0000  6 Pt 2.82
Tb4 0.3750 0.2500 0.1250  4 Pt 2.79
Tb5 0.5000 0.0000 0.5000  6 Pt 2.82
Tb6 0.5000 0.5000 0.0000  6 Pt 2.82
Tb7 0.1250 0.7500 0.3750  4 Pt 2.79
Tb8 0.7500 0.1250 0.8750  4 Pt 2.79
Tb9 0.7500 0.6250 0.3750  4 Pt 2.79
Tb10 0.3750 0.1250 0.7500  4 Pt 2.79
Tb11 0.6250 0.8750 0.2500  4 Pt 2.79
Tb12 0.5000 0.5000 0.5000  6 Pt 2.82
Tb13 0.5000 0.0000 0.0000  6 Pt 2.82
Tb14 0.0000 0.0000 0.5000  6 Pt 2.82
Tb15 0.2500 0.3750 0.6250  4 Pt 2.79
Tb16 0.2500 0.8750 0.1250  4 Pt 2.79
Tb17 0.0000 0.5000 0.5000  6 Pt 2.82
Tb18 0.8750 0.2500 0.6250  4 Pt 2.79
Tb19 0.6250 0.7500 0.8750  4 Pt 2.79
Tb20 0.8750 0.6250 0.7500  4 Pt 2.79
Pt1 0.7283 0.1473 0.0673  2 Tb 2.79-2.82, 1 Pt 2.92, 2 Pr 2.94-2.95
Pt2 0.3390 0.5673 0.4199  2 Tb 2.79-2.82, 1 Pt 2.92, 2 Pr 2.94-2.95
Pt3 0.9327 0.3527 0.2717  2 Tb 2.79-2.82, 1 Pt 2.92, 2 Pr 2.94-2.95
Pt4 0.5673 0.2283 0.1473  2 Tb 2.79-2.82, 1 Pt 2.92, 2 Pr 2.94-2.95
Pt5 0.5810 0.7283 0.6610  2 Tb 2.79-2.82, 1 Pt 2.92, 2 Pr 2.94-2.95
Pt6 0.9327 0.5801 0.1610  2 Tb 2.79-2.82, 1 Pt 2.92, 2 Pr 2.94-2.95
Pt7 0.3390 0.7717 0.4190  2 Tb 2.79-2.82, 1 Pt 2.92, 2 Pr 2.94-2.95
Pt8 0.0801 0.9190 0.1473  2 Tb 2.79-2.82, 1 Pt 2.92, 2 Pr 2.94-2.95
Pt9 0.5801 0.9327 0.6610  2 Tb 2.79-2.82, 1 Pt 2.92, 2 Pr 2.94-2.95
Pt10 0.7283 0.5810 0.1610  2 Tb 2.79-2.82, 1 Pt 2.92, 2 Pr 2.94-2.95
Pt11 0.7717 0.4327 0.3527  2 Tb 2.79-2.82, 1 Pt 2.92, 2 Pr 2.94-2.95
Pt12 0.8390 0.9199 0.0673  2 Tb 2.79-2.82, 1 Pt 2.92, 2 Pr 2.94-2.95
Pt13 0.1473 0.7283 0.5673  2 Tb 2.79-2.82, 1 Pt 2.92, 2 Pr 2.94-2.95
Pt14 0.3527 0.4199 0.0810  2 Tb 2.79-2.82, 1 Pt 2.92, 2 Pr 2.94-2.95
Pt15 0.0810 0.9199 0.3527  2 Tb 2.79-2.82, 1 Pt 2.92, 2 Pr 2.94-2.95
Pt16 0.4190 0.1473 0.5801  2 Tb 2.79-2.82, 1 Pt 2.92, 2 Pr 2.94-2.95
Pt17 0.0810 0.1610 0.2283  2 Tb 2.79-2.82, 1 Pt 2.92, 2 Pr 2.94-2.95
Pt18 0.4327 0.6610 0.0801  2 Tb 2.79-2.82, 1 Pt 2.92, 2 Pr 2.94-2.95
Pt19 0.8390 0.9190 0.2717  2 Tb 2.79-2.82, 1 Pt 2.92, 2 Pr 2.94-2.95
Pt20 0.1473 0.4190 0.0801  2 Tb 2.79-2.82, 1 Pt 2.92, 2 Pr 2.94-2.95
Pt21 0.3527 0.9327 0.7717  2 Tb 2.79-2.82, 1 Pt 2.92, 2 Pr 2.94-2.95
Pt22 0.5801 0.6473 0.4190  2 Tb 2.79-2.82, 1 Pt 2.92, 2 Pr 2.94-2.95
Pt23 0.9199 0.8390 0.5673  2 Tb 2.79-2.82, 1 Pt 2.92, 2 Pr 2.94-2.95
Pt24 0.7717 0.3390 0.9190  2 Tb 2.79-2.82, 1 Pt 2.92, 2 Pr 2.94-2.95
Pt25 0.4199 0.3527 0.5810  2 Tb 2.79-2.82, 1 Pt 2.92, 2 Pr 2.94-2.95
Pt26 0.0801 0.1610 0.4327  2 Tb 2.79-2.82, 1 Pt 2.92, 2 Pr 2.94-2.95
Pt27 0.2283 0.6610 0.0810  2 Tb 2.79-2.82, 1 Pt 2.92, 2 Pr 2.94-2.95
Pt28 0.1610 0.0810 0.7283  2 Tb 2.79-2.82, 1 Pt 2.92, 2 Pr 2.94-2.95
Pt29 0.6473 0.0673 0.2283  2 Tb 2.79-2.82, 1 Pt 2.92, 2 Pr 2.94-2.95
Pt30 0.8527 0.5810 0.9199  2 Tb 2.79-2.82, 1 Pt 2.92, 2 Pr 2.94-2.95
Pt31 0.5673 0.3390 0.9199  2 Tb 2.79-2.82, 1 Pt 2.92, 2 Pr 2.94-2.95
Pt32 0.5810 0.8527 0.4199  2 Tb 2.79-2.82, 1 Pt 2.92, 2 Pr 2.94-2.95
Pt33 0.9190 0.8390 0.7717  2 Tb 2.79-2.82, 1 Pt 2.92, 2 Pr 2.94-2.95
Pt34 0.9190 0.0801 0.6473  2 Tb 2.79-2.82, 1 Pt 2.92, 2 Pr 2.94-2.95
Pt35 0.8527 0.2717 0.4327  2 Tb 2.79-2.82, 1 Pt 2.92, 2 Pr 2.94-2.95
Pt36 0.1610 0.0801 0.9327  2 Tb 2.79-2.82, 1 Pt 2.92, 2 Pr 2.94-2.95
Pt37 0.6473 0.5801 0.9190  2 Tb 2.79-2.82, 1 Pt 2.92, 2 Pr 2.94-2.95
Pt38 0.4199 0.0673 0.3390  2 Tb 2.79-2.82, 1 Pt 2.92, 2 Pr 2.94-2.95
Pt39 0.2717 0.4190 0.8390  2 Tb 2.79-2.82, 1 Pt 2.92, 2 Pr 2.94-2.95
Pt40 0.2283 0.5673 0.6473  2 Tb 2.79-2.82, 1 Pt 2.92, 2 Pr 2.94-2.95
Pt41 0.9199 0.0810 0.8527  2 Tb 2.79-2.82, 1 Pt 2.92, 2 Pr 2.94-2.95
Pt42 0.6610 0.2283 0.5810  2 Tb 2.79-2.82, 1 Pt 2.92, 2 Pr 2.94-2.95
Pt43 0.4327 0.7717 0.8527  2 Tb 2.79-2.82, 1 Pt 2.92, 2 Pr 2.94-2.95
Pt44 0.0673 0.4199 0.8390  2 Tb 2.79-2.82, 1 Pt 2.92, 2 Pr 2.94-2.95
Pt45 0.4190 0.2717 0.3390  2 Tb 2.79-2.82, 1 Pt 2.92, 2 Pr 2.94-2.95
Pt46 0.0673 0.6473 0.7283  2 Tb 2.79-2.82, 1 Pt 2.92, 2 Pr 2.94-2.95
Pt47 0.6610 0.4327 0.5801  2 Tb 2.79-2.82, 1 Pt 2.92, 2 Pr 2.94-2.95
Pt48 0.2717 0.8527 0.9327  2 Tb 2.79-2.82, 1 Pt 2.92, 2 Pr 2.94-2.95